Material: AgPtBr
Method: DFT, SCAN
State: single point on PBEsol structure

Unit cell a=4.4437 b=4.4437 c=4.4437 alpha=60.00 beta=60.00 gamma=60.00
Sites, in units of the cell vectors:
Br (0.5000, 0.5000, 0.5000)
Pt (0.2500, 0.2500, 0.2500)
Ag (0.0000, 0.0000, 0.0000)

Calculated values
Symmetry: F-43m
N(E_F): 2.3 states/eV/cell
Energy relative to the elements, uncorrected: 0.543 eV per atom
ΔE to the lowest computed polymorph: 0.40 eV per formula unit
Calculated density: 10.2 g cm⁻³
Energy: -119.4 eV/cell